Entry from Alexandria: an optimized crystal structure of BC2 (GGA-PBE).

Geometry as POSCAR:
```
BC2
1.0
6.151 0.166 -1.267
5.577 2.598 -1.267
0.006 0.001 5.075
B C
4 8
Cartesian
0.171 0.040 5.012
10.796 2.545 -1.138
3.712 0.875 0.012
10.643 2.509 1.212
2.829 0.667 1.309
0.193 0.045 2.554
7.812 1.841 0.018
6.903 1.627 1.291
3.723 0.877 2.513
2.886 0.680 3.760
7.854 1.851 2.517
7.019 1.654 -1.283
```

Results
magnetization: 0.00 μB/cell
calculated formation energy: 0.3262 eV per atom
energy: -8.049 eV per atom